(1)
VASP calculation (GGA-PBE) on a relaxed structure of Al2CoSiNi.

Cell and atoms, written as extended XYZ:
```
5
Lattice="4.414 0.000 0.000 0.000 4.414 0.000 0.000 0.000 4.179" Properties=species:S:1:pos:R:3 pbc="T T T"
Al 0.000 2.207 0.000
Al 2.207 0.000 0.000
Co 0.000 0.000 2.089
Si 2.207 2.207 2.089
Ni 2.207 2.207 0.000
```

Uncorrected formation energy, eV/atom: 0.39
SG: P4/mmm (123)

(2)
VASP calculation (GGA-PBE) on a relaxed structure of SmAl3CoNi.

Cell and atoms, written as extended XYZ:
```
12
Lattice="3.602 -5.176 0.000 3.602 5.176 0.000 0.000 0.000 5.883" Properties=species:S:1:pos:R:3 pbc="T T T"
Sm 3.602 2.587 4.412
Sm 3.602 -2.587 1.471
Al 3.602 2.666 1.471
Al 1.802 0.000 0.000
Al 1.802 0.000 2.941
Al 5.402 0.000 0.000
Al 5.402 0.000 2.941
Al 3.602 -2.666 4.412
Co 3.602 4.877 1.471
Co 3.602 -4.877 4.412
Ni 3.602 0.430 1.471
Ni 3.602 -0.430 4.412
```

SG: Cmcm (63)
DFT formation energy, meV per atom: -271

(3)
VASP calculation (GGA-PBE) on a relaxed structure of Sm2AlCo2Ni5.

Cell and atoms, written as extended XYZ:
```
20
Lattice="8.891 0.000 0.000 0.000 8.891 0.000 0.000 0.000 3.731" Properties=species:S:1:pos:R:3 pbc="T T T"
Sm 1.582 2.863 0.000
Sm 2.863 7.309 0.000
Sm 6.028 1.582 0.000
Sm 7.309 6.028 0.000
Al 0.000 0.000 0.000
Al 4.446 4.446 0.000
Co 1.074 5.519 0.000
Co 3.372 1.074 0.000
Co 5.519 7.818 0.000
Co 7.818 3.372 0.000
Ni 0.000 4.446 1.865
Ni 0.535 7.076 1.865
Ni 1.815 0.535 1.865
Ni 2.630 4.980 1.865
Ni 3.911 2.630 1.865
Ni 4.446 0.000 1.865
Ni 4.980 6.261 1.865
Ni 6.261 3.911 1.865
Ni 7.076 8.357 1.865
Ni 8.357 1.815 1.865
```

SG: P4/mbm (127)
DFT formation energy, meV per atom: -179

(4)
VASP calculation (GGA-PBE) on a relaxed structure of Sr2AlCoNi.

Cell and atoms, written as extended XYZ:
```
5
Lattice="5.627 0.000 0.000 0.000 5.627 0.000 0.000 0.000 4.527" Properties=species:S:1:pos:R:3 pbc="T T T"
Sr 0.000 2.814 0.000
Sr 2.814 0.000 0.000
Al 0.000 0.000 2.264
Co 2.814 2.814 2.264
Ni 0.000 0.000 0.000
```

SG: P4/mmm (123)
DFT formation energy, meV per atom: 383